# 1
Density functional theory data (PBE) for crystalline SrAg2Au2 at its relaxed geometry.

a b c (Å): 8.0905 8.0905 3.3052
angles (deg): 90.00 90.00 90.00
Space group P4/mbm (No. 127)
Inequivalent atoms, fractional coordinates:
Sr1 0.0000 0.0000 0.0000 x2
Ag1 0.1231 0.3769 0.0000 x4
Au1 0.1737 0.6737 0.5000 x4

**Energy of formation from the pure elements**: -5.75 kcal/mol of atoms
**D(E_F)**: 0.3701 states/eV per atom
**Total magnetic moment**: 0.000 μB/f.u.

***

# 2
Density functional theory data (PBE) for crystalline MoPb2Br at its relaxed geometry.

a b c (Å): 3.2811 5.2875 6.0114
angles (deg): 90.00 105.44 90.00
Space group Pm (No. 6)
Inequivalent atoms, fractional coordinates:
Mo1 0.0000 0.0000 0.0000 x1
Pb1 0.2767 0.0000 0.5347 x1
Pb2 0.5176 0.5000 0.0344 x1
Br1 0.7766 0.5000 0.5408 x1

**Raw formation energy**: 0.49 eV per atom
**D(E_F)**: 0.7575 states/eV per atom
**Total magnetic moment**: 1.731 μB/f.u.

***

# 3
Density functional theory data (PBE) for crystalline SrMnAl2 at its relaxed geometry.

a b c (Å): 3.2234 5.2632 10.2143
angles (deg): 90.00 90.00 90.00
Space group Immm (No. 71)
Inequivalent atoms, fractional coordinates:
Sr1 0.0000 0.0000 0.0000 x2
Mn1 0.0000 0.0000 0.5000 x2
Al1 0.0000 0.5000 0.2105 x4

**Energy of formation from the pure elements**: 6.47 kcal/mol of atoms
**D(E_F)**: 0.7996 states/eV per atom
**Total magnetic moment**: 3.278 μB/f.u.

***

# 4
Density functional theory data (PBE) for crystalline CeYTh at its relaxed geometry.

a b c (Å): 4.0674 4.0674 24.9573
angles (deg): 90.00 90.00 90.00
Space group I4/mmm (No. 139)
Inequivalent atoms, fractional coordinates:
Ce1 0.0000 0.0000 0.1535 x4
Y1 0.0000 0.0000 0.4283 x4
Th1 0.0000 0.0000 0.2879 x4

**Energy of formation from the pure elements**: 8.03 kcal/mol of atoms
**D(E_F)**: 2.0730 states/eV per atom
**Total magnetic moment**: 0.000 μB/f.u.

***

# 5
Density functional theory data (PBE) for crystalline ThZn3Cu at its relaxed geometry.

a b c (Å): 6.2909 6.2909 5.4261
angles (deg): 90.00 90.00 120.00
Space group P6_3/mmc (No. 194)
Inequivalent atoms, fractional coordinates:
Th1 0.3333 0.6667 0.2500 x2
Zn1 0.1904 0.3807 0.7500 x6
Cu1 0.0000 0.0000 0.0000 x2

**Energy of formation from the pure elements**: -3.67 kcal/mol of atoms
**D(E_F)**: 0.6881 states/eV per atom
**Total magnetic moment**: 0.000 μB/f.u.

***

# 6
Density functional theory data (PBE) for crystalline Cs2NiBr6 at its relaxed geometry.

a b c (Å): 7.6527 7.6527 12.5932
angles (deg): 90.00 90.00 120.00
Space group P6_3mc (No. 186)
Inequivalent atoms, fractional coordinates:
Cs1 0.0000 0.0000 0.0000 x2
Cs2 0.3333 0.6667 0.2448 x2
Ni1 0.3333 0.6667 0.6209 x2
Br1 0.0366 0.5183 0.5087 x6
Br2 0.1830 0.3660 0.7312 x6

**Raw formation energy**: -0.93 eV per atom
**Total magnetic moment**: 0.000 μB/f.u.

***

# 7
Density functional theory data (PBE) for crystalline CeErTe2O at its relaxed geometry.

a b c (Å): 4.1954 4.1954 15.3520
angles (deg): 90.00 90.00 90.00
Space group P4/nmm (No. 129, origin choice 2)
Inequivalent atoms, fractional coordinates:
Ce1 0.2500 0.2500 0.0745 x2
Er1 0.2500 0.2500 0.6216 x2
Te1 0.2500 0.2500 0.4100 x2
Te2 0.2500 0.2500 0.8115 x2
O1 0.2500 0.7500 0.0000 x2

**Raw formation energy**: -2.06 eV per atom
**D(E_F)**: 1.4938 states/eV per atom
**Total magnetic moment**: 0.753 μB/f.u.

***

# 8
Density functional theory data (PBE) for crystalline SrCa2BO at its relaxed geometry.

a b c (Å): 4.5484 4.5484 6.4655
angles (deg): 90.00 90.00 90.00
Space group P4/mmm (No. 123)
Inequivalent atoms, fractional coordinates:
Sr1 0.0000 0.0000 0.0000 x1
Ca1 0.0000 0.5000 0.5000 x2
B1 0.5000 0.5000 0.0000 x1
O1 0.5000 0.5000 0.5000 x1

**Raw formation energy**: -0.28 eV per atom
**D(E_F)**: 0.6240 states/eV per atom
**Total magnetic moment**: 0.977 μB/f.u.

***

# 9
Density functional theory data (PBE) for crystalline TcSbTe2C at its relaxed geometry.

a b c (Å): 5.1914 5.1914 5.1649
angles (deg): 90.00 90.00 90.00
Space group P4/mmm (No. 123)
Inequivalent atoms, fractional coordinates:
Tc1 0.0000 0.0000 0.0000 x1
Sb1 0.0000 0.0000 0.5000 x1
Te1 0.0000 0.5000 0.0000 x2
C1 0.5000 0.5000 0.5000 x1

**Raw formation energy**: 1.76 eV per atom
**D(E_F)**: 1.0609 states/eV per atom
**Total magnetic moment**: 0.838 μB/f.u.

***

# 10
Density functional theory data (PBE) for crystalline TbSiTe at its relaxed geometry.

a b c (Å): 3.9083 23.7934 3.7621
angles (deg): 90.00 90.00 90.00
Space group Cmcm (No. 63)
Inequivalent atoms, fractional coordinates:
Tb1 0.0000 0.0750 0.2500 x4
Si1 0.0000 0.4704 0.2500 x4
Te1 0.0000 0.1792 0.7500 x4

**Raw formation energy**: -0.54 eV per atom
**D(E_F)**: 0.5870 states/eV per atom
**Total magnetic moment**: 0.000 μB/f.u.

***

# 11
Density functional theory data (PBE) for crystalline Pm4InPb2 at its relaxed geometry.

a b c (Å): 5.9943 5.9943 13.0011
angles (deg): 90.00 90.00 90.00
Space group I4/mmm (No. 139)
Inequivalent atoms, fractional coordinates:
Pm1 0.0000 0.5000 0.0000 x4
Pm2 0.0000 0.5000 0.2500 x4
In1 0.0000 0.0000 0.0000 x2
Pb1 0.0000 0.0000 0.3690 x4

**Energy of formation from the pure elements**: -3.84 kcal/mol of atoms
**D(E_F)**: 0.8548 states/eV per atom
**Total magnetic moment**: 0.000 μB/f.u.

***

# 12
Density functional theory data (PBE) for crystalline TlPW2 at its relaxed geometry.

a b c (Å): 3.3529 5.0614 8.2141
angles (deg): 90.00 90.00 90.00
Space group Cmmm (No. 65)
Inequivalent atoms, fractional coordinates:
Tl1 0.0000 0.0000 0.0000 x2
P1 0.0000 0.0000 0.5000 x2
W1 0.0000 0.5000 0.3004 x4

**Energy of formation from the pure elements**: 14.54 kcal/mol of atoms
**D(E_F)**: 0.8674 states/eV per atom
**Total magnetic moment**: 0.000 μB/f.u.